No. 1
Below is Na2FeCo after structural relaxation, with properties calculated at the PBE-GGA level.

## Properties
crystal system: tetragonal
electronic total energy: -3.55 eV/atom
energy of formation from the pure elements: 0.999 eV/atom

Cell: 10.264 10.264 7.569 Å, 47.31 47.31 90.00°
Last column: magnetic moment on the atom in μB.
Atoms (fractional coordinates):
Na: 0.875 0.022 0.750  -0.01
Na: 0.772 0.125 0.250  -0.01
Na: 0.375 0.228 0.750  -0.01
Na: 0.978 0.625 0.250  -0.01
Co: 0.000 0.000 0.000  1.67
Co: 0.750 0.250 0.500  1.67
Fe: 0.500 0.500 0.000  2.99
Fe: 0.250 0.750 0.500  2.99

No. 2
Below is LiSbCl2 after structural relaxation, with properties calculated at the PBE-GGA level.

## Properties
crystal system: monoclinic
electronic total energy: -3.26 eV/atom
energy relative to the elements, uncorrected: -79 kJ/mol of atoms

Cell: 7.292 7.292 4.945 Å, 69.14 69.14 26.21°
Atoms (fractional coordinates):
Li: 0.436 0.436 0.395
Cl: 0.821 0.821 0.642
Cl: 0.062 0.062 0.090
Sb: 0.181 0.181 0.373

No. 3
Below is SrMn2Sb after structural relaxation, with properties calculated at the PBE-GGA level.

## Properties
crystal system: tetragonal
electronic total energy: -5.74 eV/atom
energy relative to the elements, uncorrected: 29 kJ/mol of atoms

Cell: 4.588 4.588 4.469 Å, 90.00 90.00 90.00°
Last column: magnetic moment on the atom in μB.
Atoms (fractional coordinates):
Mn: 0.500 0.500 0.000  3.86
Mn: 0.000 0.000 0.000  3.86
Sb: 0.500 0.000 0.500  -0.02
Sr: 0.000 0.500 0.500  -0.02

No. 4
Below is Zn2FeRh after structural relaxation, with properties calculated at the PBE-GGA level.

## Properties
crystal system: tetragonal
electronic total energy: -4.73 eV/atom
energy of formation from the pure elements: -0.140 eV/atom

Cell: 4.603 4.603 4.603 Å, 131.06 131.06 71.71°
Last column: magnetic moment on the atom in μB.
Atoms (fractional coordinates):
Zn: 0.500 0.500 0.000  -0.03
Zn: 0.000 0.000 0.000  -0.03
Rh: 0.750 0.250 0.500  0.41
Fe: 0.250 0.750 0.500  2.74